Density functional theory data (PBE-GGA) for a geometry-optimized Pd2SBr structure.

Lattice parameters (Å, degrees): 4.0079 4.0079 19.8843 90.00 90.00 120.00
With the nearest neighbours (Å) after each atom.
Space group R-3m (No. 166, hexagonal axes)
Unique sites:
Pd 0.0000 0.0000 0.1272 [6 per cell]  3 S 2.44, 1 Br 2.53
S 0.0000 0.0000 0.5000 [3 per cell]  6 Pd 2.44
Br 0.0000 0.0000 0.0000 [3 per cell]  2 Pd 2.53

Total magnetic moment in μB per cell: 0.00
Uncorrected formation energy in eV/atom: -0.06
Total energy in eV/atom: -4.108
Calculated volume in Å³ per atom: 23.051